(A)
## NaNb2V (PBE-GGA)

Data for a geometry-optimized NaNb2V structure.

Structure (POSCAR):
```
NaNb2V
1.0
0.000 3.268 3.268
3.268 0.000 3.268
3.268 3.268 0.000
Na Nb V
1 2 1
Cartesian
0.000 0.000 0.000
1.634 1.634 1.634
4.901 4.901 4.901
3.268 3.268 3.268
```

- Fermi-level density of states: 4.9 states/eV per cell
- Total magnetic moment: 0.390 μB per formula unit
- Crystal system: cubic


(B)
## NaNb2V (PBE-GGA)

Data for a geometry-optimized NaNb2V structure.

Structure (POSCAR):
```
NaNb2V
1.0
-1.568 3.518 -0.835
-2.749 -1.751 -2.216
-8.082 0.129 6.416
Na Nb V
2 4 2
Cartesian
-2.158 0.884 -1.526
-6.494 -0.369 1.337
-3.373 2.077 0.790
-3.906 -0.687 0.130
-7.630 0.792 3.708
-9.889 1.611 2.101
0.000 0.000 0.000
-5.904 2.266 2.027
```

- Fermi-level density of states: 8.9 states/eV per cell
- Total magnetic moment: 1.081 μB per formula unit
- Crystal system: tetragonal


Most stable to least stable, the ends of the list are (A) and (B).


(A)
## NaNbW (PBE-GGA)

Data for a geometry-optimized NaNbW structure.

Structure (POSCAR):
```
NaNbW
1.0
-8.497 -12.604 -4.731
-0.360 -1.389 4.348
-2.754 1.741 0.328
Na Nb W
4 4 4
Cartesian
-5.802 -7.200 -2.662
-5.466 -3.732 -1.526
-7.360 -7.024 -0.324
-4.269 -5.297 0.484
-2.494 -2.253 -0.808
-8.775 -8.678 -3.381
-4.051 -2.077 1.530
-7.578 -10.243 -1.371
-8.606 -11.333 -4.215
-2.663 0.402 0.027
-10.163 -11.157 -1.877
-1.466 -1.163 2.037
```

- Fermi-level density of states: 7.0 states/eV per cell
- Total magnetic moment: 0.000 μB per formula unit
- Crystal system: monoclinic


(B)
## NaNbW (PBE-GGA)

Data for a geometry-optimized NaNbW structure.

Structure (POSCAR):
```
NaNbW
1.0
4.961 0.000 0.000
-2.481 4.296 0.000
0.000 0.000 2.566
Na Nb W
1 1 1
Cartesian
0.000 0.000 2.410
2.481 1.432 1.843
0.000 2.864 0.708
```

- Fermi-level density of states: 2.9 states/eV per cell
- Total magnetic moment: 0.000 μB per formula unit
- Crystal system: trigonal


(C)
## NaNbW (PBE-GGA)

Data for a geometry-optimized NaNbW structure.

Structure (POSCAR):
```
NaNbW
1.0
2.714 0.000 0.000
0.000 4.802 0.000
-0.606 0.000 9.192
Na Nb W
2 2 2
Cartesian
1.863 1.201 5.401
0.245 3.602 3.790
-0.123 1.201 8.468
2.231 3.602 0.724
1.220 1.201 1.826
0.889 3.602 7.366
```

- Fermi-level density of states: 4.9 states/eV per cell
- Total magnetic moment: 0.000 μB per formula unit
- Crystal system: monoclinic


Most stable to least stable, the ends of the list are (A) and (B).


(A)
## NaNbW (PBE-GGA)

Data for a geometry-optimized NaNbW structure.

Structure (POSCAR):
```
NaNbW
1.0
2.764 -0.004 0.005
0.865 5.262 -0.005
1.047 1.030 8.058
Na Nb W
2 2 2
Cartesian
2.324 4.937 8.016
2.352 1.350 0.041
2.313 5.145 2.819
2.363 1.142 5.239
3.314 2.519 2.971
1.361 3.768 5.087
```

- Fermi-level density of states: 5.0 states/eV per cell
- Total magnetic moment: 0.000 μB per formula unit
- Crystal system: triclinic


(B)
## NaNbW (PBE-GGA)

Data for a geometry-optimized NaNbW structure.

Structure (POSCAR):
```
NaNbW
1.0
-0.538 -1.179 -2.466
4.365 -0.857 -0.542
-0.932 -8.336 5.680
Na Nb W
2 2 2
Cartesian
0.098 -6.189 1.310
2.798 -4.184 1.362
0.615 -2.463 -0.417
2.281 -7.910 3.089
0.146 -8.182 4.850
2.750 -2.190 -2.178
```

- Fermi-level density of states: 5.3 states/eV per cell
- Total magnetic moment: 0.000 μB per formula unit
- Crystal system: monoclinic


(C)
## NaNbW (PBE-GGA)

Data for a geometry-optimized NaNbW structure.

Structure (POSCAR):
```
NaNbW
1.0
2.770 0.006 0.001
0.868 5.240 0.006
1.046 1.392 8.076
Na Nb W
2 2 2
Cartesian
3.195 5.215 3.867
1.377 2.592 3.860
3.282 1.289 6.709
2.211 3.919 1.014
0.442 1.312 0.909
2.281 3.890 6.815
```

- Fermi-level density of states: 5.5 states/eV per cell
- Total magnetic moment: 0.000 μB per formula unit
- Crystal system: triclinic


Most stable to least stable, the ends of the list are (B) and (C).


(A)
## NaNbW (PBE-GGA)

Data for a geometry-optimized NaNbW structure.

Structure (POSCAR):
```
NaNbW
1.0
4.649 0.000 0.000
-2.324 4.026 0.000
0.000 0.000 6.859
Na Nb W
2 2 2
Cartesian
0.000 2.684 3.949
2.324 1.342 2.910
0.000 2.684 0.394
2.324 1.342 6.465
0.000 0.000 1.171
0.000 0.000 5.688
```

- Fermi-level density of states: 6.5 states/eV per cell
- Total magnetic moment: 0.000 μB per formula unit
- Crystal system: trigonal


(B)
## NaNbW (PBE-GGA)

Data for a geometry-optimized NaNbW structure.

Structure (POSCAR):
```
NaNbW
1.0
3.097 0.000 0.000
0.000 3.097 0.000
-0.009 -0.024 13.924
Na Nb W
2 2 2
Cartesian
0.770 2.310 12.298
2.319 0.763 1.626
2.319 0.762 9.519
0.770 2.311 4.404
0.770 2.311 7.738
2.318 0.762 6.186
```

- Fermi-level density of states: 6.5 states/eV per cell
- Total magnetic moment: 0.194 μB per formula unit
- Crystal system: triclinic


(C)
## NaNbW (PBE-GGA)

Data for a geometry-optimized NaNbW structure.

Structure (POSCAR):
```
NaNbW
1.0
-6.250 -1.971 5.183
0.344 -3.097 -0.763
3.764 -0.198 2.497
Na Nb W
2 2 2
Cartesian
0.143 -0.239 1.035
2.197 -1.887 1.902
0.389 -1.106 4.663
-1.322 -2.556 3.033
-2.722 -1.589 5.223
-4.433 -3.039 3.593
```

- Fermi-level density of states: 4.6 states/eV per cell
- Total magnetic moment: 0.000 μB per formula unit
- Crystal system: monoclinic


(D)
## NaNbW (PBE-GGA)

Data for a geometry-optimized NaNbW structure.

Structure (POSCAR):
```
NaNbW
1.0
-2.362 -2.019 -3.224
2.558 0.046 -1.902
2.687 -7.025 3.444
Na Nb W
2 2 2
Cartesian
-0.364 -5.180 -0.613
2.095 -4.146 0.046
0.128 -1.502 0.136
1.520 -6.825 1.880
1.661 -7.868 -0.627
0.183 -2.432 -2.483
```

- Fermi-level density of states: 4.5 states/eV per cell
- Total magnetic moment: 0.000 μB per formula unit
- Crystal system: monoclinic


Most stable to least stable, the ends of the list are (B) and (A).


(A)
## NaNbW (PBE-GGA)

Data for a geometry-optimized NaNbW structure.

Structure (POSCAR):
```
NaNbW
1.0
-2.256 1.586 -0.484
-1.543 0.212 2.326
7.497 13.464 4.651
Na Nb W
2 2 2
Cartesian
-1.133 0.425 1.036
4.140 12.019 3.534
-1.487 3.736 2.741
1.663 4.800 2.463
3.165 9.023 4.150
1.020 7.601 3.996
```

- Fermi-level density of states: 3.3 states/eV per cell
- Total magnetic moment: 0.000 μB per formula unit
- Crystal system: triclinic


(B)
## NaNbW (PBE-GGA)

Data for a geometry-optimized NaNbW structure.

Structure (POSCAR):
```
NaNbW
1.0
-0.280 0.986 2.550
-3.578 -2.922 0.736
6.195 -7.027 2.226
Na Nb W
2 2 2
Cartesian
-1.022 -2.216 1.096
5.651 -6.038 3.510
2.483 -5.705 4.292
0.905 -4.182 2.667
3.661 -4.008 1.889
1.882 -1.567 2.932
```

- Fermi-level density of states: 5.4 states/eV per cell
- Total magnetic moment: 0.000 μB per formula unit
- Crystal system: monoclinic


Most stable to least stable, the ends of the list are (A) and (B).


(A)
## Na2NbW (PBE-GGA)

Data for a geometry-optimized Na2NbW structure.

Structure (POSCAR):
```
Na2NbW
1.0
-4.036 -6.929 2.410
-1.239 -2.067 -8.019
-0.486 -5.755 -2.813
Na Nb W
4 2 2
Cartesian
-2.821 -6.065 -0.187
-1.379 -3.560 -5.427
-2.336 -7.679 -4.170
-4.987 -12.199 -7.061
-2.637 -4.498 -2.805
-2.181 -6.160 -6.818
0.000 0.000 0.000
-3.580 -8.591 -1.604
```

- Fermi-level density of states: 6.0 states/eV per cell
- Total magnetic moment: 0.000 μB per formula unit
- Crystal system: tetragonal


(B)
## Na2NbW (PBE-GGA)

Data for a geometry-optimized Na2NbW structure.

Structure (POSCAR):
```
Na2NbW
1.0
-0.903 -4.617 -1.200
1.457 -3.596 2.918
-3.269 -2.565 2.510
Na Nb W
2 1 1
Cartesian
-0.679 -2.695 1.057
-2.037 -8.084 3.171
0.000 0.000 0.000
-1.358 -5.389 2.114
```

- Fermi-level density of states: 4.8 states/eV per cell
- Total magnetic moment: 0.454 μB per formula unit
- Crystal system: cubic


Most stable to least stable, the ends of the list are (A) and (B).